Record 1
# RuPt2AuCl | Alexandria | GGA-PBE | optimized geometry
# V ... 18.021 A^3/atom
# ΔE_f (raw) ... 1.06 eV/atom
data_RuPt2AuCl
_chemical_formula_sum 'Ru1 Pt2 Au1 Cl1'
_cell_length_a 4.556
_cell_length_b 4.556
_cell_length_c 4.341
_cell_angle_alpha 90.00
_cell_angle_beta 90.00
_cell_angle_gamma 90.00
_symmetry_space_group_name_H-M 'P 4/m m m'
_symmetry_Int_Tables_number 123
_symmetry_space_group_name_Hall '-P 4 2'
loop_
_atom_site_label
_atom_site_fract_x
_atom_site_fract_y
_atom_site_fract_z
Ru1 0.000 0.000 0.000
Pt1 0.000 0.500 0.500
Au1 0.500 0.500 0.000
Cl1 0.000 0.000 0.500

***

Record 2
# PrSiO4 | Alexandria | GGA-PBE | optimized geometry
# V ... 14.279 A^3/atom
# ΔE_f (raw) ... -2.73 eV/atom
data_PrSiO4
_chemical_formula_sum 'Pr4 Si4 O16'
_cell_length_a 7.281
_cell_length_b 7.281
_cell_length_c 6.465
_cell_angle_alpha 90.00
_cell_angle_beta 90.00
_cell_angle_gamma 90.00
_symmetry_space_group_name_H-M 'I 41/a m d'
_symmetry_Int_Tables_number 141
loop_
_symmetry_equiv_pos_as_xyz
'x,y,z'
'-x,-y,-z'
'-y+1/4,x+3/4,z+1/4'
'y+1/4,-x+3/4,-z+1/4'
'-x+1/2,-y,z+1/2'
'x+1/2,y,-z+1/2'
'y+1/4,-x+1/4,z+3/4'
'-y+1/4,x+1/4,-z+3/4'
'x,-y,-z'
'-x,y,z'
'-y+1/4,-x+1/4,-z+3/4'
'y+1/4,x+1/4,z+3/4'
'-x+1/2,y,-z+1/2'
'x+1/2,-y,z+1/2'
'y+1/4,x+3/4,-z+1/4'
'-y+1/4,-x+3/4,z+1/4'
'x+1/2,y+1/2,z+1/2'
'-x+1/2,-y+1/2,-z+1/2'
'-y+3/4,x+1/4,z+3/4'
'y+3/4,-x+1/4,-z+3/4'
'-x,-y+1/2,z'
'x,y+1/2,-z'
'y+3/4,-x+3/4,z+1/4'
'-y+3/4,x+3/4,-z+1/4'
'x+1/2,-y+1/2,-z+1/2'
'-x+1/2,y+1/2,z+1/2'
'-y+3/4,-x+3/4,-z+1/4'
'y+3/4,x+3/4,z+1/4'
'-x,y+1/2,-z'
'x,-y+1/2,z'
'y+3/4,x+1/4,-z+3/4'
'-y+3/4,-x+1/4,z+3/4'
loop_
_atom_site_label
_atom_site_fract_x
_atom_site_fract_y
_atom_site_fract_z
Pr1 0.000 0.250 0.375
Si1 0.000 0.250 0.875
O1 0.000 0.075 0.715

***

Record 3
# K2CoTc | Alexandria | GGA-PBE | optimized geometry
# Relative energy among the computed polymorphs ... 647 meV/atom
# Formation enthalpy at 0 K ... 1.417 eV per atom
# V ... 20.201 A^3/atom
data_K2CoTc
_chemical_formula_sum 'K2 Co1 Tc1'
_cell_length_a 2.828
_cell_length_b 4.933
_cell_length_c 5.792
_cell_angle_alpha 90.00
_cell_angle_beta 90.00
_cell_angle_gamma 90.00
_symmetry_space_group_name_H-M 'P m m m'
_symmetry_Int_Tables_number 47
loop_
_symmetry_equiv_pos_as_xyz
'x,y,z'
'-x,-y,-z'
'-x,-y,z'
'x,y,-z'
'x,-y,-z'
'-x,y,z'
'-x,y,-z'
'x,-y,z'
loop_
_atom_site_label
_atom_site_fract_x
_atom_site_fract_y
_atom_site_fract_z
K1 0.000 0.000 0.000
K2 0.500 0.500 0.000
Co1 0.000 0.500 0.500
Tc1 0.500 0.000 0.500

***

> Among the records above, which one has the highest V?

K2CoTc

***

> The lowest V belongs to which entry?

PrSiO4